A geometry-optimized YHfOs2 structure. Source: OQMD, functional PBE-GGA.

Summary:
Space group: No. 216
Calculated formation energy: 0.16 eV/atom
Calculated density: 15.10 g cm⁻³

Cell lengths 4.653, 4.653, 4.653 Å; angles 60.00, 60.00, 60.00 degrees
Fractional positions:
1 Os 0.000 0.000 0.000
2 Os 0.750 0.750 0.750
3 Y 0.500 0.500 0.500
4 Hf 0.250 0.250 0.250

---

A geometry-optimized HfZnOs2 structure. Source: OQMD, functional PBE-GGA.

Summary:
Space group: No. 216
Calculated formation energy: 0.14 eV/atom
Calculated density: 16.36 g cm⁻³

Cell lengths 4.475, 4.475, 4.475 Å; angles 60.00, 60.00, 60.00 degrees
Last column: magnetic moment on the atom in μB.
Fractional positions:
1 Os 0.000 0.000 0.000  0.04
2 Os 0.750 0.750 0.750  0.06
3 Zn 0.250 0.250 0.250  0.00
4 Hf 0.500 0.500 0.500  0.01

---

A geometry-optimized Hf5ZnOs4 structure. Source: OQMD, functional PBE-GGA.

Summary:
Space group: No. 123
Calculated formation energy: -0.62 eV/atom
Calculated density: 16.46 g cm⁻³

Cell lengths 3.252, 3.252, 16.395 Å; angles 90.00, 90.00, 90.00 degrees
Fractional positions:
1 Os 0.000 0.000 0.799
2 Os 0.000 0.000 0.400
3 Os 0.000 0.000 0.201
4 Os 0.000 0.000 0.600
5 Hf 0.500 0.500 0.302
6 Hf 0.500 0.500 0.500
7 Hf 0.500 0.500 0.103
8 Hf 0.500 0.500 0.897
9 Hf 0.500 0.500 0.698
10 Zn 0.000 0.000 0.000

---

A geometry-optimized HfZnOs2 structure. Source: OQMD, functional PBE-GGA.

Summary:
Space group: No. 216
Calculated formation energy: 0.14 eV/atom
Calculated density: 16.35 g cm⁻³

Cell lengths 4.476, 4.476, 4.476 Å; angles 60.00, 60.00, 60.00 degrees
Last column: magnetic moment on the atom in μB.
Fractional positions:
1 Zn 0.500 0.500 0.500  0.00
2 Os 0.750 0.750 0.750  0.03
3 Os 0.000 0.000 0.000  0.06
4 Hf 0.250 0.250 0.250  0.01

---

A geometry-optimized HfZn2Os structure. Source: OQMD, functional PBE-GGA.

Summary:
Space group: No. 216
Calculated formation energy: -0.09 eV/atom
Calculated density: 13.03 g cm⁻³

Cell lengths 4.482, 4.482, 4.482 Å; angles 60.00, 60.00, 60.00 degrees
Fractional positions:
1 Zn 0.250 0.250 0.250
2 Zn 0.000 0.000 0.000
3 Os 0.750 0.750 0.750
4 Hf 0.500 0.500 0.500

---

A geometry-optimized HfZnOs structure. Source: OQMD, functional PBE-GGA.

Summary:
Space group: No. 216
Calculated formation energy: 0.03 eV/atom
Calculated density: 12.29 g cm⁻³

Cell lengths 4.361, 4.361, 4.361 Å; angles 60.00, 60.00, 60.00 degrees
Fractional positions:
1 Os 0.000 0.000 0.000
2 Zn 0.750 0.750 0.750
3 Hf 0.250 0.250 0.250